{
  "formula": "Y2Ho2CF5",
  "functional": "GGA-PBE",
  "state": "optimized geometry",
  "cell": [[7.304, -1.691, 0.000], [7.304, 1.691, 0.000], [-3.004, 0.000, 6.049]],
  "species": ["Y", "Y", "Ho", "Ho", "C", "F", "F", "F", "F", "F"],
  "fractional_positions": [[0.186, 0.186, 0.189], [0.814, 0.814, 0.811], [0.498, 0.498, 0.237], [0.502, 0.502, 0.763], [0.000, 0.000, 0.000], [0.000, 0.000, 0.500], [0.326, 0.326, 0.106], [0.330, 0.330, 0.544], [0.670, 0.670, 0.456], [0.674, 0.674, 0.894]],
  "total_energy_ev_per_atom": -6.725,
  "crystal_system": "monoclinic",
  "total_magnetization_mub_per_fu": 0.02,
  "mass_density_g_cm3": 6.8
}